# 1
Compound: YSc4CuS8
Source: Alexandria via LeMat-Bulk
Functional: GGA-PBE
Structure: relaxed

Unit cell a=7.5356 b=7.5356 c=18.8359 alpha=90.00 beta=90.00 gamma=120.00
Space group R3m (No. 160, hexagonal axes)
Inequivalent atoms, fractional coordinates:
Y: 0.0000 0.0000 0.0000 [3 per cell]
Sc: 0.0000 0.0000 0.6247 [3 per cell]
Sc: 0.1745 0.3491 0.8284 [9 per cell]
Cu: 0.0000 0.0000 0.3719 [3 per cell]
S: 0.0000 0.0000 0.2430 [3 per cell]
S: 0.0000 0.0000 0.7564 [3 per cell]
S: 0.0029 0.5014 0.7522 [9 per cell]
S: 0.1724 0.3448 0.5734 [9 per cell]

Calculated values
E_form (uncorrected), eV/atom: -1.7141


# 2
Compound: SrOs4
Source: Alexandria via LeMat-Bulk
Functional: GGA-PBE
Structure: relaxed

Unit cell a=5.8586 b=5.8586 c=5.8586 alpha=90.00 beta=90.00 gamma=90.00
Space group Im-3m (No. 229)
Inequivalent atoms, fractional coordinates:
Sr: 0.0000 0.0000 0.0000 [2 per cell]
Os: 0.2500 0.2500 0.2500 [8 per cell]

Calculated values
Energy above the most stable polymorph in this dataset, meV per atom: 2800
E_form, kJ/mol of formula units: 1546


# 3
Compound: DyEr4S4
Source: Alexandria via LeMat-Bulk
Functional: GGA-PBE
Structure: relaxed

Unit cell a=8.5925 b=8.5925 c=5.4287 alpha=90.00 beta=90.00 gamma=90.00
Space group I4/m (No. 87)
Inequivalent atoms, fractional coordinates:
Dy: 0.0000 0.0000 0.0000 [2 per cell]
Er: 0.1039 0.6986 0.5000 [8 per cell]
S: 0.0983 0.6969 0.0000 [8 per cell]

Calculated values
E_form (uncorrected), eV/atom: -1.7348


# 4
Compound: MgMoPd
Source: Alexandria via LeMat-Bulk
Functional: GGA-PBE
Structure: relaxed

Unit cell a=6.0788 b=6.0788 c=6.0788 alpha=90.00 beta=90.00 gamma=90.00
Space group F-43m (No. 216)
Inequivalent atoms, fractional coordinates:
Mg: 0.0000 0.0000 0.0000 [4 per cell]
Mo: 0.0000 0.0000 0.5000 [4 per cell]
Pd: 0.2500 0.2500 0.2500 [4 per cell]

Calculated values
Energy above the most stable polymorph in this dataset, meV per atom: 605
E_form, kJ/mol of formula units: 115


# 5
Compound: NaLaS2Cl
Source: Alexandria via LeMat-Bulk
Functional: GGA-PBE
Structure: relaxed

Unit cell a=4.9423 b=4.9423 c=4.7910 alpha=90.00 beta=90.00 gamma=90.00
Space group P4/mmm (No. 123)
Inequivalent atoms, fractional coordinates:
Na: 0.0000 0.0000 0.0000 [1 per cell]
La: 0.5000 0.5000 0.5000 [1 per cell]
S: 0.0000 0.5000 0.0000 [2 per cell]
Cl: 0.0000 0.0000 0.5000 [1 per cell]

Calculated values
Energy above the most stable polymorph in this dataset, meV per atom: 308
E_form (uncorrected), eV/atom: -0.9927


# 6
Compound: CsCdTe2N
Source: Alexandria via LeMat-Bulk
Functional: GGA-PBE
Structure: relaxed

Unit cell a=6.5179 b=6.5179 c=4.0746 alpha=90.00 beta=90.00 gamma=90.00
Space group P4/mmm (No. 123)
Inequivalent atoms, fractional coordinates:
Cs: 0.0000 0.0000 0.0000 [1 per cell]
Cd: 0.5000 0.5000 0.5000 [1 per cell]
Te: 0.0000 0.5000 0.5000 [2 per cell]
N: 0.5000 0.5000 0.0000 [1 per cell]

Calculated values
Energy above the most stable polymorph in this dataset, meV per atom: 0
E_form (uncorrected), eV/atom: 0.5449


# 7
Compound: TiReN3
Source: Alexandria via LeMat-Bulk
Functional: GGA-PBE
Structure: relaxed

Unit cell a=9.8264 b=9.2066 c=4.8886 alpha=90.00 beta=96.23 gamma=90.00
Space group C2/c (No. 15)
Inequivalent atoms, fractional coordinates:
Ti: 0.2494 0.0983 0.1572 [8 per cell]
Re: 0.0000 0.0757 0.7500 [4 per cell]
Re: 0.0000 0.3167 0.2500 [4 per cell]
N: 0.1115 0.2424 0.9669 [8 per cell]
N: 0.1224 0.4263 0.4521 [8 per cell]
N: 0.1276 0.0840 0.4482 [8 per cell]

Calculated values
E_form (uncorrected), eV/atom: -0.4288


# 8
Compound: TlOs5
Source: Alexandria via LeMat-Bulk
Functional: GGA-PBE
Structure: relaxed

Unit cell a=4.9040 b=4.9040 c=4.4899 alpha=90.00 beta=90.00 gamma=120.00
Space group P-62m (No. 189)
Inequivalent atoms, fractional coordinates:
Tl: 0.0000 0.0000 0.0000 [1 per cell]
Os: 0.0000 0.6322 0.5000 [3 per cell]
Os: 0.3333 0.6667 0.0000 [2 per cell]

Calculated values
Energy above the most stable polymorph in this dataset, meV per atom: 186
E_form, kJ/mol of formula units: 392


| no. | total DFT energy (no corrections) (eV per atom) | calculated volume (Å³ per cell) |
| --- | --- | --- |
| 1 | -6.6359 | 926 |
| 2 | -6.1151 | 201 |
| 3 | -6.1085 | 401 |
| 4 | -5.4755 | 225 |
| 5 | -4.2623 | 117 |
| 6 | -2.7306 | 173 |
| 7 | -9.4927 | 440 |
| 8 | -9.0748 | 94 |